1.
V3InFe PBE-GGA relaxed; energy relative to the lowest polymorph listed for this composition = 0 meV/atom; total DFT energy (no corrections) = -7.17 eV/atom; V = 16.47 Å³ per atom; DFT formation energy = 539 meV/atom; ρ = 6.5 g/cm3; DOS at the Fermi energy = 5.09 states/eV/cell
1.0
4.351 0.000 0.000
0.000 4.351 0.000
0.000 0.000 4.351
V In Fe
3 1 1
Direct
0.000 0.000 0.500 V
0.000 0.500 0.000 V
0.500 0.000 0.000 V
0.500 0.500 0.500 In
0.000 0.000 0.000 Fe

***

2.
V2InFe4 PBE-GGA relaxed; total DFT energy (no corrections) = -6.51 eV/atom; V = 18.63 Å³ per atom; DFT formation energy = 1324 meV/atom; ρ = 5.6 g/cm3; DOS at the Fermi energy = 6.52 states/eV/cell
1.0
-2.302 2.302 6.155
2.302 -2.302 6.155
2.302 2.302 -6.155
V In Fe
2 1 4
Direct
0.111 0.111 0.000 V
0.889 0.889 0.000 V
0.500 0.500 0.000 In
0.000 0.500 0.500 Fe
0.287 0.287 0.000 Fe
0.500 0.000 0.500 Fe
0.713 0.713 0.000 Fe

***

3.
VIn3Fe PBE-GGA relaxed; energy relative to the lowest polymorph listed for this composition = 0 meV/atom; total DFT energy (no corrections) = -4.52 eV/atom; V = 23.78 Å³ per atom; DFT formation energy = 643 meV/atom; ρ = 6.3 g/cm3; DOS at the Fermi energy = 5.76 states/eV/cell
1.0
4.917 0.000 0.000
0.000 4.917 0.000
0.000 0.000 4.917
V In Fe
1 3 1
Direct
0.000 0.000 0.000 V
0.000 0.500 0.500 In
0.500 0.000 0.500 In
0.500 0.500 0.000 In
0.500 0.500 0.500 Fe

***

4.
VIn3Fe PBE-GGA relaxed; energy relative to the lowest polymorph listed for this composition = 440 meV/atom; total DFT energy (no corrections) = -4.08 eV/atom; V = 26.91 Å³ per atom; DFT formation energy = 1083 meV/atom; ρ = 5.6 g/cm3; DOS at the Fermi energy = 8.68 states/eV/cell
1.0
5.124 0.000 0.000
0.000 5.124 0.000
0.000 0.000 5.124
V In Fe
1 3 1
Direct
0.000 0.000 0.000 V
0.000 0.000 0.500 In
0.000 0.500 0.000 In
0.500 0.000 0.000 In
0.500 0.500 0.500 Fe